# BaSrNiO3

BaSrNiO3 after structural relaxation (GGA+U, the Alexandria database).

The structure belongs to space group C2/m (No. 12); the cell edges are 13.495, 3.943 and 7.480 Å and the angles 90.00°, 105.97° and 90.00°. The asymmetric unit holds Ba at (0.146, 0.000, 0.076), Sr at (0.147, 0.000, 0.571), Ni at (0.001, 0.500, 0.269), O at (0.000, 0.000, 0.269), O at (0.150, 0.500, 0.809) and O at (0.152, 0.500, 0.340).

The calculation puts the spin magnetization at 0.02 μB per cell. As for the final energy: -5.521 eV/atom.